No. 1
Computed, not measured: an optimized crystal structure of Rb3PtF7 at the PBE-GGA level of DFT.

abc: 8.322 8.322 6.085
angles: 90.00 90.00 90.00
Space group P4/mbm (No. 127)
Asymmetric unit:
Rb  0.000  0.000  0.000 (multiplicity 2)
Rb  0.189  0.311  0.500 (multiplicity 4)
Pt  0.000  0.500  0.000 (multiplicity 2)
F  0.000  0.000  0.500 (multiplicity 2)
F  0.115  0.615  0.237 (multiplicity 8)
F  0.168  0.332  0.000 (multiplicity 4)

Summary:
The final energy is -4.251 eV per atom. Its total magnetic moment is 0.019 μB per atom.


No. 2
Computed, not measured: an optimized crystal structure of RbPtF4 at the PBE-GGA level of DFT.

abc: 6.630 6.630 6.888
angles: 90.00 90.00 90.00
Space group I-4m2 (No. 119)
Asymmetric unit:
Rb  0.000  0.000  0.000 (multiplicity 2)
Pt  0.000  0.500  0.250 (multiplicity 2)
F  0.206  0.294  0.250 (multiplicity 8)

Summary:
The final energy is -4.164 eV per atom. Its total magnetic moment is 0.170 μB per atom.